Compound: Ac2SmThSe4
Source: Alexandria via LeMat-Bulk
Functional: PBE
Structure: optimized geometry

abc: 4.2869 7.4691 7.5503
angles: 109.05 90.00 90.00
Closest atoms and distances in Å follow each position.
Positions (direct):
Th (0.5000, 0.5000, 0.0000)  6 Se 2.99
Se (0.0000, 0.7466, 0.2323)  1 Sm 2.97, 2 Th 2.99, 3 Ac 3.12-3.15
Se (0.5000, 0.7582, 0.7693)  2 Sm 2.97, 1 Th 2.99, 3 Ac 3.13-3.14
Se (0.0000, 0.2534, 0.7677)  1 Sm 2.97, 2 Th 2.99, 3 Ac 3.12-3.15
Se (0.5000, 0.2418, 0.2307)  2 Sm 2.97, 1 Th 2.99, 3 Ac 3.13-3.14
Ac (0.0000, 0.5000, 0.5000)  6 Se 3.14-3.15
Ac (0.5000, 0.0000, 0.5000)  6 Se 3.12-3.13
Sm (0.0000, 0.0000, 0.0000)  6 Se 2.97

Summary:
size of the total moment: 0.0 μB per cell
total energy: -48.3 eV per cell
raw formation energy: -1.754 eV/atom



Compound: Dy2Er2ThMg5
Source: Alexandria via LeMat-Bulk
Functional: PBE
Structure: optimized geometry

abc: 5.1600 10.4936 10.4936
angles: 90.00 90.00 90.00
Closest atoms and distances in Å follow each position.
Positions (direct):
Er (0.0000, 0.6192, 0.8808)  3 Dy 3.02-3.17, 6 Mg 3.13-3.25
Er (0.0000, 0.1192, 0.6192)  3 Dy 3.02-3.17, 6 Mg 3.13-3.25
Er (0.0000, 0.3808, 0.1192)  3 Dy 3.02-3.17, 6 Mg 3.13-3.25
Er (0.0000, 0.8808, 0.3808)  3 Dy 3.02-3.17, 6 Mg 3.13-3.25
Dy (0.0000, 0.1775, 0.3225)  3 Er 3.02-3.17
Dy (0.0000, 0.3225, 0.8225)  3 Er 3.02-3.17
Dy (0.0000, 0.6775, 0.1775)  3 Er 3.02-3.17
Dy (0.0000, 0.8225, 0.6775)  3 Er 3.02-3.17
Mg (0.5000, 0.8024, 0.9237)  4 Mg 3.14-3.36, 2 Er 3.25, 2 Th 3.41
Mg (0.5000, 0.4237, 0.3024)  4 Mg 3.14-3.36, 2 Er 3.25, 2 Th 3.41
Mg (0.5000, 0.0763, 0.8024)  4 Mg 3.14-3.36, 2 Er 3.25, 2 Th 3.41
Mg (0.5000, 0.0000, 0.5000)  4 Er 3.13, 4 Mg 3.27
Mg (0.5000, 0.1976, 0.0763)  4 Mg 3.14-3.36, 2 Er 3.25, 2 Th 3.41
Mg (0.5000, 0.5000, 0.0000)  4 Er 3.13, 4 Mg 3.27
Mg (0.5000, 0.9237, 0.1976)  4 Mg 3.14-3.36, 2 Er 3.25, 2 Th 3.41
Mg (0.5000, 0.6976, 0.4237)  4 Mg 3.14-3.36, 2 Er 3.25, 2 Th 3.41
Mg (0.5000, 0.3024, 0.5763)  4 Mg 3.14-3.36, 2 Er 3.25, 2 Th 3.41
Mg (0.5000, 0.5763, 0.6976)  4 Mg 3.14-3.36, 2 Er 3.25, 2 Th 3.41
Th (0.0000, 0.5000, 0.5000)  8 Mg 3.41
Th (0.0000, 0.0000, 0.0000)  8 Mg 3.41

Summary:
size of the total moment: 0.0 μB per cell
total energy: -65.0 eV per cell
DFT formation energy: 0.12 eV per atom



Compound: InHRuPt2
Source: Alexandria via LeMat-Bulk
Functional: PBE
Structure: optimized geometry

abc: 4.0182 4.0182 4.1700
angles: 90.00 90.00 90.00
Closest atoms and distances in Å follow each position.
Positions (direct):
Pt (0.0000, 0.5000, 0.0000)  2 H 2.01
Pt (0.5000, 0.0000, 0.0000)  2 H 2.01
Ru (0.0000, 0.0000, 0.5000)  2 H 2.09
H (0.0000, 0.0000, 0.0000)  4 Pt 2.01, 2 Ru 2.09
In (0.5000, 0.5000, 0.5000)  4 Ru 2.84, 8 Pt 2.90

Summary:
size of the total moment: 0.0 μB per cell
total energy: -27.8 eV per cell



Compound: BiTeAuS
Source: Alexandria via LeMat-Bulk
Functional: PBE
Structure: optimized geometry

abc: 4.7567 4.7567 6.9037
angles: 86.19 86.19 53.63
Closest atoms and distances in Å follow each position.
Positions (direct):
S (0.4288, 0.4288, 0.2631)  3 Bi 2.76-2.90
Bi (0.1125, 0.1125, 0.1323)  3 S 2.76-2.90, 1 Au 2.91
Au (0.0294, 0.0294, 0.7308)  3 Te 2.60-2.71, 1 Bi 2.91
Te (0.7222, 0.7222, 0.7521)  3 Au 2.60-2.71

Summary:
size of the total moment: 0.0 μB per cell
total energy: -14.6 eV per cell
raw formation energy: -0.043 eV/atom